#one
## CrNiRu3 (PBE)

Data for an optimized crystal structure of CrNiRu3.

Cell lengths 4.3467, 4.3467, 4.3467 Å; angles 90.00, 90.00, 90.00 degrees
With the nearest neighbours (Å) after each atom.
Element x y z (fractional)
Cr: 0.0000 0.0000 0.0000  12 Ru 3.07
Ni: 0.5000 0.5000 0.5000  6 Ru 2.17
Ru: 0.0000 0.5000 0.5000  2 Ni 2.17
Ru: 0.5000 0.0000 0.5000  2 Ni 2.17
Ru: 0.5000 0.5000 0.0000  2 Ni 2.17



#two
## CrNiRu3 (PBE)

Data for an optimized crystal structure of CrNiRu3.

Cell lengths 4.3783, 4.3783, 4.3783 Å; angles 90.00, 90.00, 90.00 degrees
With the nearest neighbours (Å) after each atom.
Element x y z (fractional)
Cr: 0.0000 0.0000 0.0000  6 Ru 2.19
Ni: 0.5000 0.5000 0.5000  12 Ru 3.10
Ru: 0.0000 0.0000 0.5000  2 Cr 2.19
Ru: 0.0000 0.5000 0.0000  2 Cr 2.19
Ru: 0.5000 0.0000 0.0000  2 Cr 2.19



#three
## CrNiRu3 (PBE)

Data for an optimized crystal structure of CrNiRu3.

Cell lengths 4.6433, 4.1990, 7.0119 Å; angles 90.00, 109.17, 90.00 degrees
With the nearest neighbours (Å) after each atom.
Element x y z (fractional)
Cr: 0.0649 0.2500 0.3025  10 Ru 2.60-2.69, 2 Ni 2.67-2.71
Cr: 0.9351 0.7500 0.6975  10 Ru 2.60-2.69, 2 Ni 2.67-2.71
Ni: 0.4676 0.2500 0.0962  2 Ni 2.57, 8 Ru 2.57-2.72, 2 Cr 2.67-2.71
Ni: 0.5324 0.7500 0.9038  2 Ni 2.57, 8 Ru 2.57-2.72, 2 Cr 2.67-2.71
Ru: 0.1434 0.7500 0.1013  4 Ni 2.59-2.72, 5 Ru 2.62-2.68, 3 Cr 2.62-2.67
Ru: 0.2686 0.2500 0.7083  3 Ni 2.57-2.59, 3 Cr 2.60-2.69, 6 Ru 2.60-2.75
Ru: 0.3304 0.7500 0.5064  7 Ru 2.60-2.75, 4 Cr 2.60-2.68, 1 Ni 2.63
Ru: 0.6696 0.2500 0.4936  7 Ru 2.60-2.75, 4 Cr 2.60-2.68, 1 Ni 2.63
Ru: 0.7314 0.7500 0.2917  3 Ni 2.57-2.59, 3 Cr 2.60-2.69, 6 Ru 2.60-2.75
Ru: 0.8566 0.2500 0.8987  4 Ni 2.59-2.72, 5 Ru 2.62-2.68, 3 Cr 2.62-2.67



Which one sits at the top of the stability order? #three does.



#one
## CrNiRu (PBE)

Data for an optimized crystal structure of CrNiRu.

Cell lengths 4.4443, 4.1141, 4.5570 Å; angles 90.00, 119.06, 90.00 degrees
With the nearest neighbours (Å) after each atom.
Element x y z (fractional)
Cr: 0.0112 0.2500 0.1719  5 Ru 2.51-2.68, 2 Cr 2.56, 5 Ni 2.56-2.70
Cr: 0.9888 0.7500 0.8281  5 Ru 2.51-2.68, 2 Cr 2.56, 5 Ni 2.56-2.70
Ni: 0.3519 0.2500 0.8507  2 Ni 2.46, 5 Ru 2.56-2.67, 5 Cr 2.56-2.70
Ni: 0.6481 0.7500 0.1493  2 Ni 2.46, 5 Ru 2.56-2.67, 5 Cr 2.56-2.70
Ru: 0.3113 0.7500 0.4997  5 Cr 2.51-2.68, 5 Ni 2.56-2.67, 2 Ru 2.65
Ru: 0.6887 0.2500 0.5003  5 Cr 2.51-2.68, 5 Ni 2.56-2.67, 2 Ru 2.65



#two
## CrNiRu (PBE)

Data for an optimized crystal structure of CrNiRu.

Cell lengths 4.5146, 4.5146, 5.1538 Å; angles 107.25, 107.25, 47.41 degrees
With the nearest neighbours (Å) after each atom.
Element x y z (fractional)
Cr: 0.0000 0.0000 0.0000  6 Ru 2.57-2.67, 2 Cr 2.58, 4 Ni 2.58
Cr: 0.0000 0.0000 0.5000  4 Ru 2.53, 2 Cr 2.58, 6 Ni 2.59-2.60
Ni: 0.3317 0.3317 0.6661  5 Ru 2.56-2.60, 2 Ni 2.56, 5 Cr 2.58-2.60
Ni: 0.6683 0.6683 0.3339  5 Ru 2.56-2.60, 2 Ni 2.56, 5 Cr 2.58-2.60
Ru: 0.3413 0.3413 0.1754  5 Cr 2.53-2.67, 5 Ni 2.56-2.60, 2 Ru 2.66
Ru: 0.6587 0.6587 0.8246  5 Cr 2.53-2.67, 5 Ni 2.56-2.60, 2 Ru 2.66



#three
## CrNiRu (PBE)

Data for an optimized crystal structure of CrNiRu.

Cell lengths 4.5160, 4.5160, 4.4236 Å; angles 98.52, 98.52, 121.47 degrees
With the nearest neighbours (Å) after each atom.
Element x y z (fractional)
Cr: 0.2493 0.7507 0.7500  5 Ru 2.52-2.73, 5 Ni 2.58-2.60, 2 Cr 2.61
Cr: 0.7507 0.2493 0.2500  5 Ru 2.52-2.73, 5 Ni 2.58-2.60, 2 Cr 2.61
Ni: 0.4209 0.5791 0.2500  2 Ni 2.54, 5 Ru 2.55-2.61, 5 Cr 2.58-2.60
Ni: 0.5791 0.4209 0.7500  2 Ni 2.54, 5 Ru 2.55-2.61, 5 Cr 2.58-2.60
Ru: 0.0971 0.9029 0.2500  5 Cr 2.52-2.73, 5 Ni 2.55-2.61, 2 Ru 2.69
Ru: 0.9029 0.0971 0.7500  5 Cr 2.52-2.73, 5 Ni 2.55-2.61, 2 Ru 2.69



#four
## CrNiRu (PBE)

Data for an optimized crystal structure of CrNiRu.

Cell lengths 4.4829, 4.4829, 4.4431 Å; angles 98.40, 98.40, 120.77 degrees
With the nearest neighbours (Å) after each atom.
Element x y z (fractional)
Cr: 0.1702 0.8298 0.0000  3 Cr 2.54-2.65, 4 Ni 2.55-2.63, 5 Ru 2.57-2.59
Cr: 0.8298 0.1702 0.0000  3 Cr 2.54-2.65, 4 Ni 2.55-2.63, 5 Ru 2.57-2.59
Ni: 0.3300 0.6700 0.5000  3 Ni 2.54-2.65, 4 Cr 2.55-2.63, 5 Ru 2.57-2.59
Ni: 0.6700 0.3300 0.5000  3 Ni 2.54-2.65, 4 Cr 2.55-2.63, 5 Ru 2.57-2.59
Ru: 0.0000 0.0000 0.5000  6 Ni 2.57-2.58, 4 Cr 2.59, 2 Ru 2.63
Ru: 0.5000 0.5000 0.0000  6 Cr 2.57-2.58, 4 Ni 2.59, 2 Ru 2.63



Which one sits at the top of the stability order? #one does.



#one
## CrNi3Ru (PBE)

Data for an optimized crystal structure of CrNi3Ru.

Cell lengths 4.8462, 4.8462, 6.1739 Å; angles 107.47, 107.47, 62.33 degrees
With the nearest neighbours (Å) after each atom.
Element x y z (fractional)
Cr: 0.1460 0.1460 0.1053  1 Cr 2.31, 8 Ni 2.47-2.59
Cr: 0.8540 0.8540 0.8947  1 Cr 2.31, 8 Ni 2.47-2.59
Ni: 0.1882 0.6871 0.2615  3 Cr 2.47-2.59, 2 Ru 2.49, 6 Ni 2.50-2.76
Ni: 0.3129 0.8118 0.7385  3 Cr 2.47-2.59, 2 Ru 2.49, 6 Ni 2.50-2.76
Ni: 0.3446 0.3436 0.8828  7 Ni 2.48-2.60, 3 Cr 2.48-2.51, 2 Ru 2.54-2.55
Ni: 0.6564 0.6554 0.1172  7 Ni 2.48-2.60, 3 Cr 2.48-2.51, 2 Ru 2.54-2.55
Ni: 0.6863 0.1881 0.2614  3 Cr 2.47-2.59, 2 Ru 2.49, 6 Ni 2.50-2.76
Ni: 0.8119 0.3137 0.7386  3 Cr 2.47-2.59, 2 Ru 2.49, 6 Ni 2.50-2.76
Ru: 0.0034 0.4961 0.4992  6 Ni 2.49-2.55, 2 Ru 2.51, 2 Cr 2.59-2.62
Ru: 0.5039 0.9966 0.5008  6 Ni 2.49-2.55, 2 Ru 2.51, 2 Cr 2.59-2.62



#two
## CrNi3Ru (PBE)

Data for an optimized crystal structure of CrNi3Ru.

Cell lengths 4.1635, 4.1635, 4.1635 Å; angles 90.00, 90.00, 90.00 degrees
With the nearest neighbours (Å) after each atom.
Element x y z (fractional)
Cr: 0.0000 0.0000 0.0000  6 Ni 2.08
Ni: 0.0000 0.0000 0.5000  2 Cr 2.08
Ni: 0.0000 0.5000 0.0000  2 Cr 2.08
Ni: 0.5000 0.0000 0.0000  2 Cr 2.08
Ru: 0.5000 0.5000 0.5000  12 Ni 2.94



Which one sits at the top of the stability order? #one does.



#one
## Cr2NiS4 (PBE)

Data for an optimized crystal structure of Cr2NiS4.

Cell lengths 6.6697, 6.6697, 6.6697 Å; angles 139.97, 139.97, 57.89 degrees
With the nearest neighbours (Å) after each atom.
Element x y z (fractional)
Cr: 0.1192 0.1192 0.0000  1 S 2.16
Cr: 0.8808 0.8808 0.0000  1 S 2.16
Ni: 0.5000 0.5000 0.0000  6 S 2.28-2.29
S: 0.0000 0.5000 0.5000  2 Ni 2.28
S: 0.3040 0.3040 0.0000  1 Cr 2.16, 1 Ni 2.29
S: 0.5000 0.0000 0.5000  2 Ni 2.28
S: 0.6960 0.6960 0.0000  1 Cr 2.16, 1 Ni 2.29



#two
## Cr2NiS4 (PBE)

Data for an optimized crystal structure of Cr2NiS4.

Cell lengths 6.8743, 6.8743, 6.8743 Å; angles 119.97, 119.97, 90.05 degrees
With the nearest neighbours (Å) after each atom.
Element x y z (fractional)
Cr: 0.0000 0.0000 0.0000  6 S 2.38
Cr: 0.0000 0.0000 0.5000  6 S 2.38
Cr: 0.0000 0.5000 0.0000  6 S 2.38
Cr: 0.5000 0.0000 0.5000  6 S 2.38
Ni: 0.3750 0.6250 0.7500  4 S 2.20
Ni: 0.6250 0.3750 0.2500  4 S 2.20
S: 0.2337 0.2447 0.9890  1 Ni 2.20, 3 Cr 2.38
S: 0.2443 0.7553 0.4890  1 Ni 2.20, 3 Cr 2.38
S: 0.2447 0.2337 0.4890  1 Ni 2.20, 3 Cr 2.38
S: 0.2447 0.7557 0.0110  1 Ni 2.20, 3 Cr 2.38
S: 0.7553 0.2443 0.9890  1 Ni 2.20, 3 Cr 2.38
S: 0.7553 0.7663 0.5110  1 Ni 2.20, 3 Cr 2.38
S: 0.7557 0.2447 0.5110  1 Ni 2.20, 3 Cr 2.38
S: 0.7663 0.7553 0.0110  1 Ni 2.20, 3 Cr 2.38



Which one sits at the top of the stability order? #two does.